VASP calculation (PBE-GGA) on a relaxed structure of Tm2LuCo9.

calculated volume = 166.7 Å³/cell
SG = R-3m (166)
formation energy = -218.2 meV per atom

POSCAR file:
```
Tm2LuCo9
1.0
2.451 1.415 8.007
-2.451 1.415 8.007
0.000 -2.831 8.007
Tm Lu Co
2 1 9
Cartesian
0.000 0.000 3.361
0.000 0.000 20.659
0.000 0.000 0.000
-1.239 -0.715 9.975
0.000 0.000 8.041
0.000 -1.430 14.045
-1.239 0.715 14.045
0.000 0.000 12.010
1.239 -0.715 9.975
0.000 1.430 9.975
0.000 0.000 15.979
1.239 0.715 14.045
```